## Tl2CrF5 (PBE+U)

Data for crystalline Tl2CrF5 at its relaxed geometry.

Cell lengths 6.451, 6.451, 8.139 Å; angles 90.00, 90.00, 90.00 degrees
Space group I4mm (No. 107)
One atom of each set of equivalent atoms:
Tl: 0.000 0.500 0.000 (multiplicity 4)
Cr: 0.000 0.000 0.272 (multiplicity 2)
F: 0.000 0.000 0.044 (multiplicity 2)
F: 0.208 0.208 0.309 (multiplicity 8)

Crystal system   tetragonal
Energy above the most stable polymorph in this dataset   98 meV/atom
Final energy   -4.91 eV per atom
M_tot   6.0 Bohr magnetons per cell
D(E_F)   0.00 states/eV per atom